[1]
Here is CsK2AcCl6 after structural relaxation from Alexandria. Energies are from PBE.

Structure (extended XYZ):
```
20
Lattice="7.9340 0.0000 0.0212 0.0000 8.4185 0.0000 0.0976 0.0000 11.5565" Properties=species:S:1:pos:R:3 pbc="T T T"
Cs 3.9670 0.0000 0.0106
Cs 0.0488 4.2092 5.7783
K 0.2505 7.8361 2.9993
K 4.2663 4.7916 8.7881
K 7.7812 0.5823 8.5785
K 3.7654 3.6269 2.7896
Ac 4.0158 0.0000 5.7889
Ac 0.0000 4.2092 0.0000
Cl 2.3093 5.6595 0.8544
Cl 6.3251 6.9682 6.6432
Cl 5.7224 2.7590 10.7234
Cl 1.7066 1.4502 4.9345
Cl 2.7459 6.0772 4.6324
Cl 6.7617 6.5505 10.4212
Cl 5.2858 2.3413 6.9454
Cl 1.2700 1.8679 1.1565
Cl 6.7025 4.9796 2.5446
Cl 2.7843 7.6481 8.3122
Cl 1.3292 3.4389 9.0332
Cl 5.2474 0.7703 3.2655
```

Summary:
Total energy in eV per atom: -3.98
Formation energy without anion corrections in eV per atom: -2.160

=====

[2]
Here is Ti2NiMoH after structural relaxation from Alexandria. Energies are from PBE.

Structure (extended XYZ):
```
5
Lattice="4.2650 0.0000 0.0000 0.0000 4.2650 0.0000 0.0000 0.0000 3.4405" Properties=species:S:1:pos:R:3 pbc="T T T"
Ni 2.1325 2.1325 1.7202
Mo 0.0000 0.0000 1.7202
H 0.0000 0.0000 0.0000
Ti 0.0000 2.1325 0.0000
Ti 2.1325 0.0000 0.0000
```

Summary:
Total energy in eV per atom: -7.34

=====

[3]
Here is CsSbF3 after structural relaxation from Alexandria. Energies are from PBE.

Structure (extended XYZ):
```
10
Lattice="6.3870 0.0000 0.0000 0.0000 6.3870 0.0000 3.1935 3.1935 6.0990" Properties=species:S:1:pos:R:3 pbc="T T T"
Cs 6.3870 3.1935 3.0495
Cs 3.1935 6.3870 3.0495
Sb 3.1935 3.1935 0.0000
Sb 0.0000 0.0000 0.0000
F 3.1935 3.1935 3.9302
F 6.3870 6.3870 2.1688
F 1.5615 1.5615 0.0000
F 4.8255 4.8255 0.0000
F 4.8255 1.5615 0.0000
F 1.5615 4.8255 0.0000
```

Summary:
Total energy in eV per atom: -4.31
Formation energy without anion corrections in eV per atom: -2.195

=====

[4]
Here is NaTiOF2 after structural relaxation from Alexandria. Energies are from PBE.

Structure (extended XYZ):
```
5
Lattice="-2.3947 -1.1142 2.7156 -2.4302 -1.2129 -2.6407 1.8420 -3.8174 0.0582" Properties=species:S:1:pos:R:3 pbc="T T T"
Na 0.0000 0.0000 0.0000
F -1.2151 -0.6065 -1.3203
F -1.1973 -0.5571 1.3578
O 0.9210 -1.9087 0.0291
Ti -1.4915 -3.0722 0.0666
```

Summary:
Total energy in eV per atom: -4.96
Formation energy without anion corrections in eV per atom: -1.374

=====

Look up the total energy of the second one. -7.34 eV per atom

=====

total energy of number 2 (Ti2NiMoH)? -7.34 eV per atom

=====

Please write out number 4 again, unchanged.
Here is NaTiOF2 after structural relaxation from Alexandria. Energies are from PBE.

Structure (extended XYZ):
```
5
Lattice="-2.3947 -1.1142 2.7156 -2.4302 -1.2129 -2.6407 1.8420 -3.8174 0.0582" Properties=species:S:1:pos:R:3 pbc="T T T"
Na 0.0000 0.0000 0.0000
F -1.2151 -0.6065 -1.3203
F -1.1973 -0.5571 1.3578
O 0.9210 -1.9087 0.0291
Ti -1.4915 -3.0722 0.0666
```

Summary:
Total energy in eV per atom: -4.96
Formation energy without anion corrections in eV per atom: -1.374